No. 1
TbHo12Er7: relaxed, PBE-GGA.

Calculated values
For the energy relative to the lowest polymorph listed for this composition, the calculation gives 32.6 meV/atom. The calculation puts the energy of formation from the pure elements at 340 meV/atom. For the volume, the calculation gives 1934 Å³ per cell.

Lattice parameters (Å, degrees): 18.3707 18.3707 6.6187 90.00 90.00 120.00
Space group R-3 (No. 148, hexagonal axes)
Inequivalent atoms, fractional coordinates:
Tb 0.0000 0.0000 0.0000 [3 per cell]
Ho 0.0008 0.2125 0.2806 [18 per cell]
Ho 0.0063 0.5343 0.7402 [18 per cell]
Er 0.0000 0.0000 0.5000 [3 per cell]
Er 0.0081 0.1562 0.7777 [18 per cell]

No. 2
Tb3HoEr3: relaxed, PBE-GGA.

Calculated values
The calculation puts the energy of formation from the pure elements at 8 meV/atom. For the volume, the calculation gives 439 Å³ per cell.

Lattice parameters (Å, degrees): 9.5049 9.5049 5.6140 90.00 90.00 120.00
Space group P6_3/m (No. 176)
Inequivalent atoms, fractional coordinates:
Tb 0.0479 0.2395 0.2500 [6 per cell]
Ho 0.3333 0.6667 0.2500 [2 per cell]
Er 0.0948 0.4763 0.7500 [6 per cell]

No. 3
Tb2Ho3Er2: relaxed, PBE-GGA.

Calculated values
For the energy relative to the lowest polymorph listed for this composition, the calculation gives 0.0 meV/atom. The calculation puts the energy of formation from the pure elements at 21 meV/atom. For the volume, the calculation gives 216 Å³ per cell.

Lattice parameters (Å, degrees): 3.5159 6.0957 10.5769 84.39 89.88 73.24
Space group P-1 (No. 2)
Inequivalent atoms, fractional coordinates:
Tb 0.2145 0.0709 0.3565 [2 per cell]
Ho 0.3570 0.7858 0.9289 [2 per cell]
Ho 0.5000 0.5000 0.5000 [1 per cell]
Er 0.0713 0.3578 0.7867 [2 per cell]

Question: What is the formula in the first record?
Answer: TbHo12Er7